Al8Rh2Au after structural relaxation. Source: the Alexandria database, functional PBE.

Density of states at the Fermi level: 0.21 states/eV per atom
ΔH_f (0 K): -0.518 eV/atom
Total moment: 0.0 μB per cell

Unit cell a=4.8080 b=5.1959 c=7.7574 alpha=109.21 beta=107.52 gamma=90.55
Closest atoms and distances in Å follow each position.
Space group P-1 (No. 2)
Inequivalent atoms, fractional coordinates:
1 Al 0.1042 0.1057 0.2107 (multiplicity 2)  2 Rh 2.71, 2 Au 2.81-2.82, 7 Al 2.92-3.02
2 Al 0.2478 0.4537 0.9983 (multiplicity 2)  2 Al 2.44-2.46, 2 Rh 2.54-2.55, 1 Au 2.66
3 Al 0.3144 0.5626 0.6364 (multiplicity 2)  2 Al 2.54-2.66, 3 Rh 2.55-2.76
4 Al 0.3213 0.0728 0.6343 (multiplicity 2)  2 Al 2.54-2.66, 3 Rh 2.55-2.77
5 Rh 0.1613 0.6605 0.3215 (multiplicity 2)  10 Al 2.54-2.77
6 Au 0.5000 0.0000 0.0000 (multiplicity 1)  10 Al 2.66-2.86